1.
Computed, not measured: a relaxed structure of Np3Ni6P5 at the PBE-GGA level of DFT.

POSCAR file:
```
Np3Ni6P5
1.0
-0.980 0.133 -3.635
0.647 -9.319 -0.515
-11.125 -0.936 2.966
Ni P Np
12 10 6
Direct
0.500 0.513 0.000
0.000 0.006 0.171
0.500 0.014 0.000
0.000 0.986 0.500
0.500 0.994 0.329
0.000 0.607 0.686
0.000 0.006 0.829
0.500 0.393 0.814
0.000 0.487 0.500
0.500 0.994 0.671
0.000 0.607 0.314
0.500 0.393 0.186
0.000 0.852 0.671
0.000 0.852 0.329
0.000 0.515 0.129
0.500 0.485 0.371
0.000 0.515 0.871
0.500 0.148 0.171
0.500 0.485 0.629
0.500 0.125 0.500
0.500 0.148 0.829
0.000 0.875 0.000
0.500 0.748 0.157
0.000 0.252 0.343
0.500 0.748 0.843
0.000 0.257 0.000
0.000 0.252 0.657
0.500 0.743 0.500
```

## Properties
**Energy**: -220.750 eV for the cell shown
**Volume**: 14.539 A^3/atom
**Formation energy**: -9.82 eV/f.u.

---

2.
Computed, not measured: a relaxed structure of Li2LaHW at the PBE-GGA level of DFT.

POSCAR file:
```
Li2LaHW
1.0
-3.960 -0.803 0.870
1.369 -3.697 2.824
0.195 2.552 3.246
Li H La W
2 1 1 1
Direct
0.500 0.000 0.000
0.000 0.000 0.500
0.000 0.000 0.000
0.000 0.500 0.000
0.500 0.500 0.500
```

## Properties
**Energy**: -22.670 eV for the cell shown
**Volume**: 16.570 A^3/atom

---

3.
Computed, not measured: a relaxed structure of Rb2LaMg2Se4 at the PBE-GGA level of DFT.

POSCAR file:
```
Rb2LaMg2Se4
1.0
-0.978 2.040 3.661
-5.722 -5.982 1.804
7.840 -3.213 1.354
La Mg Se Rb
1 2 4 2
Direct
0.000 0.000 0.000
0.672 0.977 0.345
0.328 0.023 0.655
0.476 0.243 0.952
0.524 0.757 0.048
0.795 0.834 0.590
0.205 0.166 0.410
0.875 0.459 0.751
0.125 0.541 0.249
```

## Properties
**Energy**: -36.024 eV for the cell shown
**Volume**: 31.768 A^3/atom
**Energy relative to the elements, uncorrected**: -12.0 eV per formula unit

---

4.
Computed, not measured: a relaxed structure of Sc2MnGa at the PBE-GGA level of DFT.

POSCAR file:
```
Sc2MnGa
1.0
-0.674 0.936 -2.902
-2.251 -1.435 -1.620
-7.387 5.974 1.961
Mn Sc Ga
1 2 1
Direct
0.000 0.000 0.000
0.088 0.088 0.735
0.912 0.912 0.265
0.500 0.500 0.500
```

## Properties
**Energy**: -24.027 eV for the cell shown
**Volume**: 20.120 A^3/atom
**Formation energy**: 0.83 eV/f.u.